VASP calculation (GGA-PBE) on a relaxed Ta2NiBr crystal.

Lattice parameters (Å, degrees): 8.791 8.791 8.791 19.79 19.79 19.79
Sites, in units of the cell vectors:
Ta1 0.005 0.005 0.005
Ta2 0.495 0.495 0.495
Ni1 0.750 0.750 0.750
Br1 0.250 0.250 0.250

E_form (uncorrected) in eV/atom: 0.37
Space-group type: R-3m, No. 166
Polymorph energy (0 for the lowest one) in meV per atom: 172